No. 1
An optimized crystal structure of Pm4Zn3Ru, computed with GGA-PBE.

a b c (Å): 3.5889 3.5889 14.7758
angles (deg): 90.00 90.00 90.00
Sites, in units of the cell vectors:
Pm  0.0000  0.0000  0.1145
Pm  0.0000  0.0000  0.3739
Pm  0.0000  0.0000  0.6261
Pm  0.0000  0.0000  0.8855
Zn  0.5000  0.5000  0.2489
Zn  0.5000  0.5000  0.5000
Zn  0.5000  0.5000  0.7511
Ru  0.5000  0.5000  0.0000

The density of states at the Fermi level is 1.02 states/eV per atom. The excess energy over the best structure of this formula in the dataset is 0 meV per atom. As for the total energy: -4.30 eV/atom. The calculated formation energy is -0.286 eV per atom.

=====

No. 2
An optimized crystal structure of TaHgBr2, computed with GGA-PBE.

a b c (Å): 5.3401 5.3401 3.3203
angles (deg): 90.00 90.00 90.00
Sites, in units of the cell vectors:
Ta  0.0000  0.0000  0.0000
Hg  0.5000  0.5000  0.0000
Br  0.0000  0.5000  0.5000
Br  0.5000  0.0000  0.5000

The density of states at the Fermi level is 0.87 states/eV per atom. The calculation puts the formation energy from raw total energies at 0.716 eV/atom. The excess energy over the best structure of this formula in the dataset is 986 meV per atom. As for the total energy: -3.16 eV/atom.

=====

No. 3
An optimized crystal structure of NdZn11, computed with GGA-PBE.

a b c (Å): 8.2560 8.2560 8.2560
angles (deg): 100.01 100.01 130.72
Sites, in units of the cell vectors:
Nd  0.3750  0.6250  0.7500
Nd  0.6250  0.3750  0.2500
Zn  0.0000  0.0000  0.0000
Zn  0.0000  0.0000  0.5000
Zn  0.0000  0.5000  0.0000
Zn  0.1250  0.8750  0.2500
Zn  0.1321  0.5549  0.3339
Zn  0.1321  0.7983  0.5773
Zn  0.2017  0.2790  0.3339
Zn  0.2017  0.8679  0.9227
Zn  0.2790  0.2017  0.8339
Zn  0.2790  0.4451  0.0773
Zn  0.4451  0.2790  0.5773
Zn  0.4451  0.8679  0.1661
Zn  0.5000  0.0000  0.5000
Zn  0.5549  0.1321  0.8339
Zn  0.5549  0.7210  0.4227
Zn  0.7210  0.5549  0.9227
Zn  0.7210  0.7983  0.1661
Zn  0.7983  0.1321  0.0773
Zn  0.7983  0.7210  0.6661
Zn  0.8679  0.2017  0.4227
Zn  0.8679  0.4451  0.6661
Zn  0.8750  0.1250  0.7500

The density of states at the Fermi level is 0.34 states/eV per atom. As for the total energy: -1.77 eV/atom. The calculated formation energy is -0.207 eV per atom.